Below is LiSc4Co at its PBEsol-relaxed geometry, with properties calculated at the meta-GGA SCAN level.

Computed properties:
For the formation energy, the calculation gives 659 meV/atom. The value obtained for the total energy is -12.114 eV/atom. Its density of states at the Fermi level is 0.99 states/eV/atom.

```
6
Lattice="-4.841 -0.657 -2.803 -3.852 -3.668 1.853 -4.822 1.867 2.231" Properties=species:S:1:pos:R:3 pbc="T T T"
Sc -7.471 -0.003 1.585
Sc -5.088 -0.925 0.482
Sc -7.480 -1.250 -0.903
Sc -6.991 -2.737 1.397
Li 0.000 0.000 0.000
Co -10.136 -1.843 0.961
```